The following is a PBE calculation of crystalline DyGa2Pd at its relaxed geometry, from the Alexandria database.

Cell lengths 4.432, 5.542, 6.630 Å; angles 90.00, 90.00, 113.64 degrees
Atoms (fractional coordinates):
Ga  0.628  0.255  0.553
Ga  0.372  0.745  0.447
Pd  0.799  0.599  0.250
Dy  0.912  0.823  0.750
Ga  0.372  0.745  0.053
Ga  0.628  0.255  0.947
Pd  0.201  0.401  0.750
Dy  0.088  0.177  0.250

The size of the total moment is 0.000 μB per atom. As for the energy of formation from the pure elements: -0.801 eV per atom. The density of states at the Fermi level comes out at 3.618 states/eV/cell. The calculation puts the calculated volume at 18.65 A^3/atom.

=====

The following is a PBE calculation of crystalline Dy3Ga8Pd3 at its relaxed geometry, from the Alexandria database.

Cell lengths 4.248, 8.170, 8.170 Å; angles 73.63, 74.93, 74.93 degrees
Atoms (fractional coordinates):
Dy  0.184  0.816  0.816
Ga  0.630  0.089  0.652
Ga  0.165  0.464  0.206
Dy  0.816  0.184  0.184
Pd  0.000  0.788  0.212
Ga  0.370  0.348  0.911
Dy  0.500  0.500  0.500
Ga  0.165  0.206  0.464
Pd  0.500  0.000  0.000
Ga  0.835  0.536  0.794
Ga  0.630  0.652  0.089
Ga  0.835  0.794  0.536
Pd  0.000  0.212  0.788
Ga  0.370  0.911  0.348

The size of the total moment is 0.000 μB per atom. As for the energy of formation from the pure elements: -0.712 eV per atom. The density of states at the Fermi level comes out at 6.354 states/eV/cell. The calculation puts the calculated volume at 18.38 A^3/atom.

=====

The following is a PBE calculation of crystalline Dy2GaPd at its relaxed geometry, from the Alexandria database.

Cell lengths 4.465, 5.939, 7.717 Å; angles 115.29, 90.00, 90.00 degrees
Atoms (fractional coordinates):
Dy  0.750  0.207  0.926
Dy  0.250  0.793  0.074
Ga  0.250  0.317  0.698
Dy  0.750  0.234  0.411
Pd  0.750  0.637  0.795
Ga  0.750  0.683  0.302
Dy  0.250  0.766  0.589
Pd  0.250  0.363  0.205

The size of the total moment is 0.000 μB per atom. As for the energy of formation from the pure elements: -0.745 eV per atom. The density of states at the Fermi level comes out at 5.167 states/eV/cell. The calculation puts the calculated volume at 23.13 A^3/atom.

=====

The following is a PBE calculation of crystalline Dy2Ga5Pd5 at its relaxed geometry, from the Alexandria database.

Cell lengths 4.312, 5.311, 9.338 Å; angles 90.00, 90.00, 90.00 degrees
Atoms (fractional coordinates):
Ga  0.500  0.500  0.500
Pd  0.500  0.000  0.000
Pd  0.000  0.000  0.189
Pd  0.000  0.000  0.811
Dy  0.000  0.500  0.000
Ga  0.500  0.254  0.236
Ga  0.500  0.746  0.236
Pd  0.000  0.500  0.663
Ga  0.500  0.746  0.764
Ga  0.500  0.254  0.764
Dy  0.000  0.000  0.500
Pd  0.000  0.500  0.337

The size of the total moment is 0.000 μB per atom. As for the energy of formation from the pure elements: -0.754 eV per atom. The density of states at the Fermi level comes out at 6.680 states/eV/cell. The calculation puts the calculated volume at 17.82 A^3/atom.

=====

The following is a PBE calculation of crystalline DyGa3Pd at its relaxed geometry, from the Alexandria database.

Cell lengths 4.233, 8.261, 10.805 Å; angles 90.00, 90.00, 90.00 degrees
Atoms (fractional coordinates):
Ga  0.750  0.926  0.595
Ga  0.250  0.393  0.682
Ga  0.250  0.574  0.095
Ga  0.250  0.074  0.405
Pd  0.750  0.406  0.145
Dy  0.250  0.196  0.986
Ga  0.750  0.631  0.709
Ga  0.250  0.369  0.291
Ga  0.750  0.131  0.791
Ga  0.250  0.893  0.818
Ga  0.250  0.869  0.209
Ga  0.750  0.607  0.318
Dy  0.750  0.304  0.486
Pd  0.250  0.094  0.645
Ga  0.750  0.426  0.905
Dy  0.250  0.696  0.514
Dy  0.750  0.804  0.014
Pd  0.250  0.594  0.855
Pd  0.750  0.906  0.355
Ga  0.750  0.107  0.182

The size of the total moment is 0.000 μB per atom. As for the energy of formation from the pure elements: -0.650 eV per atom. The density of states at the Fermi level comes out at 7.408 states/eV/cell. The calculation puts the calculated volume at 18.89 A^3/atom.

=====

The following is a PBE calculation of crystalline Dy4GaPd2 at its relaxed geometry, from the Alexandria database.

Cell lengths 4.956, 4.956, 8.567 Å; angles 73.19, 73.19, 60.00 degrees
Atoms (fractional coordinates):
Dy  0.873  0.873  0.381
Dy  0.379  0.379  0.864
Ga  0.000  0.000  0.000
Pd  0.750  0.750  0.750
Pd  0.250  0.250  0.250
Dy  0.127  0.127  0.619
Dy  0.621  0.621  0.136

The size of the total moment is 0.000 μB per atom. As for the energy of formation from the pure elements: -0.623 eV per atom. The density of states at the Fermi level comes out at 4.856 states/eV/cell. The calculation puts the calculated volume at 24.54 A^3/atom.